## 1
A geometry-optimized CuAgIO2 structure, computed with GGA-PBEsol.

The structure in POSCAR format:
```
CuAgIO2
1.0
3.798 0.000 0.000
0.000 3.798 0.000
0.000 0.000 6.028
Cu Ag I O
1 1 1 2
Direct
0.000 0.000 0.000
0.500 0.500 0.500
0.000 0.000 0.500
0.000 0.500 0.000
0.500 0.000 0.000
```

Properties
ρ = 6.31 g cm⁻³

=====

## 2
A geometry-optimized CuAgIO2 structure, computed with GGA-PBEsol.

The structure in POSCAR format:
```
CuAgIO2
1.0
3.845 0.000 0.000
0.000 3.845 0.000
0.000 0.000 6.693
Cu Ag I O
1 1 1 2
Direct
0.000 0.000 0.000
0.500 0.500 0.500
0.500 0.500 0.000
0.000 0.500 0.500
0.500 0.000 0.500
```

Properties
ρ = 5.54 g cm⁻³

=====

Energies relative to the most stable structure are 1 0.0; 2 26.7, reported in kJ/mol of atoms.